VASP calculation (PBE-GGA) on an optimized crystal structure of LaPrPb2.

Output
* theoretical density: 8.69 g/cm³
* VASP energy: -19.5 eV per cell
* DOS at the Fermi energy: 3.72 states/eV/f.u.

CIF file:
```
data_LaPrPb2
_symmetry_space_group_name_H-M 'P 1'
_symmetry_Int_Tables_number 1
_cell_length_a 4.7738
_cell_length_b 4.5762
_cell_length_c 6.5199
_cell_angle_alpha 90.00
_cell_angle_beta 111.42
_cell_angle_gamma 90.00
loop_
_symmetry_equiv_pos_as_xyz
'x,y,z'
loop_
_atom_site_label
_atom_site_fract_x
_atom_site_fract_y
_atom_site_fract_z
_atom_site_occupancy
La1 0.0000 0.0000 0.0000 1
Pr1 0.7354 0.5000 0.4679 1
Pb1 0.2727 0.0000 0.5426 1
Pb2 0.4601 0.5000 0.9201 1
```